# 1
Entry from Alexandria via LeMat-Bulk: a geometry-optimized PrY2Tm2 structure (PBE).

Summary:
ΔE_f (eV per atom): 0.08
SG: No. 127

Lattice parameters (Å, degrees): 9.430 9.430 3.706 90.00 90.00 90.00
Sites, in units of the cell vectors:
Pr (0.000, 0.000, 0.000)
Pr (0.500, 0.500, 0.000)
Y (0.327, 0.827, 0.500)
Y (0.827, 0.673, 0.500)
Y (0.673, 0.173, 0.500)
Y (0.173, 0.327, 0.500)
Tm (0.123, 0.623, 0.000)
Tm (0.623, 0.877, 0.000)
Tm (0.877, 0.377, 0.000)
Tm (0.377, 0.123, 0.000)

=====

# 2
Entry from Alexandria via LeMat-Bulk: a geometry-optimized Ag6TeI2Br3 structure (PBE).

Summary:
Formation energy from raw total energies (kJ/mol of atoms): -16
SG: No. 12

Lattice parameters (Å, degrees): 7.279 7.279 7.365 100.05 100.05 119.67
Sites, in units of the cell vectors:
Ag (0.915, 0.597, 0.751)
Ag (0.773, 0.773, 0.252)
Ag (0.085, 0.403, 0.249)
Ag (0.597, 0.915, 0.751)
Ag (0.227, 0.227, 0.748)
Ag (0.403, 0.085, 0.249)
Te (0.000, 0.000, 0.000)
I (0.335, 0.665, 0.000)
I (0.665, 0.335, 0.000)
Br (0.177, 0.823, 0.500)
Br (0.823, 0.177, 0.500)
Br (0.500, 0.500, 0.500)

=====

# 3
Entry from Alexandria via LeMat-Bulk: a geometry-optimized SrCaSCl2 structure (PBE).

Summary:
Formation energy from raw total energies (kJ/mol of atoms): -188
SG: No. 123

Lattice parameters (Å, degrees): 5.143 5.143 5.485 90.00 90.00 90.00
Sites, in units of the cell vectors:
Sr (0.500, 0.500, 0.500)
Ca (0.000, 0.000, 0.000)
S (0.000, 0.000, 0.500)
Cl (0.000, 0.500, 0.000)
Cl (0.500, 0.000, 0.000)

=====

# 4
Entry from Alexandria via LeMat-Bulk: a geometry-optimized BeNiTe structure (PBE).

Summary:
Formation energy from raw total energies (kJ/mol of atoms): -21
SG: No. 1

Lattice parameters (Å, degrees): 3.151 3.979 9.045 99.69 100.76 66.66
Sites, in units of the cell vectors:
Be (0.569, 0.067, 0.596)
Be (0.890, 0.500, 0.666)
Te (0.011, 0.553, 0.942)
Te (0.873, 0.186, 0.341)
Ni (0.226, 0.939, 0.770)
Ni (0.236, 0.633, 0.503)

=====

# 5
Entry from Alexandria via LeMat-Bulk: a geometry-optimized Y2FeCu2 structure (PBE).

Summary:
ΔE_f (eV per atom): 0.09
SG: No. 139

Lattice parameters (Å, degrees): 3.377 3.377 8.715 78.83 78.83 90.00
Sites, in units of the cell vectors:
Y (0.403, 0.403, 0.194)
Y (0.597, 0.597, 0.806)
Fe (0.000, 0.000, 0.000)
Cu (0.750, 0.250, 0.500)
Cu (0.250, 0.750, 0.500)

=====

# 6
Entry from Alexandria via LeMat-Bulk: a geometry-optimized Ba2HfCuBi structure (PBE).

Summary:
ΔE_f (eV per atom): 0.63
SG: No. 123

Lattice parameters (Å, degrees): 6.744 5.486 6.744 90.00 90.00 90.00
Each line ends with the local moment (μB).
Sites, in units of the cell vectors:
Hf (0.000, 0.500, 0.000)  0.63
Bi (0.000, 0.000, 0.000)  -0.02
Cu (0.500, 0.500, 0.500)  -0.01
Ba (0.000, 0.000, 0.500)  0.09
Ba (0.500, 0.000, 0.000)  0.08

=====

Across the entries above, Fermi-level density of states takes the values 5.96; 8.00; 0.00; 1.14; 1.25; 5.93 states/eV/f.u., respectively.
Across the entries above, M_tot takes the values 0.000; 0.000; 0.000; 0.000; 0.000; 0.383 μB per atom, respectively.